Below is crystalline Na3Y2RuO6 at its relaxed geometry, with properties calculated at the PBE level. Values from VASP.

Space-group type ... C2/m (12)
Uncorrected formation energy ... -2.16 eV per atom
Uncorrected energy ... -6.820 eV/atom
Magnetization ... 1.01 μB per formula unit

Quantum ESPRESSO input file:
```
&SYSTEM
  ibrav = 0, nat = 12, ntyp = 4
/
ATOMIC_SPECIES
Na 22.99 Na.upf
Y 88.91 Y.upf
Ru 101.07 Ru.upf
O 16.00 O.upf
ATOMIC_POSITIONS angstrom
Na 0.0000 0.0000 0.0000
Na 2.8624 1.5454 0.0000
Na 2.8624 -1.5454 0.0000
Y 1.9358 3.2445 2.7997
Y 1.9358 -3.2445 2.7997
Ru 1.9358 0.0000 2.7997
O 1.0039 1.5565 1.5776
O 0.1500 0.0000 3.9657
O 1.0039 -1.5565 1.5776
O 2.8678 1.5565 4.0217
O 3.7217 0.0000 1.6336
O 2.8678 -1.5565 4.0217
CELL_PARAMETERS angstrom
2.8624 -4.9082 0.0000
2.8624 4.9082 0.0000
-1.8531 0.0000 5.5993
```



Below is crystalline Na3Zn2RuO6 at its relaxed geometry, with properties calculated at the PBE level. Values from VASP.

Space-group type ... C2/m (12)
Uncorrected formation energy ... -1.35 eV per atom
Uncorrected energy ... -5.147 eV/atom
Magnetization ... 3.02 μB per formula unit

Quantum ESPRESSO input file:
```
&SYSTEM
  ibrav = 0, nat = 12, ntyp = 4
/
ATOMIC_SPECIES
Na 22.99 Na.upf
Zn 65.41 Zn.upf
Ru 101.07 Ru.upf
O 16.00 O.upf
ATOMIC_POSITIONS angstrom
Na 0.0000 0.0000 0.0000
Na 2.7048 1.6004 0.0000
Na 2.7048 -1.6004 0.0000
Zn 1.7945 3.1197 2.6848
Zn 1.7945 -3.1197 2.6848
Ru 1.7945 0.0000 2.6848
O 0.9572 1.4579 1.5797
O 0.1136 0.0000 3.7772
O 0.9572 -1.4579 1.5797
O 2.6318 1.4579 3.7900
O 3.4754 0.0000 1.5925
O 2.6318 -1.4579 3.7900
CELL_PARAMETERS angstrom
2.7048 -4.6784 0.0000
2.7048 4.6784 0.0000
-1.8206 0.0000 5.3697
```



Below is crystalline Na3Zn3RuO8 at its relaxed geometry, with properties calculated at the PBE level. Values from VASP.

Space-group type ... R-3m (166)
Uncorrected formation energy ... -1.24 eV per atom
Uncorrected energy ... -5.025 eV/atom
Magnetization ... 1.04 μB per formula unit

Quantum ESPRESSO input file:
```
&SYSTEM
  ibrav = 0, nat = 15, ntyp = 4
/
ATOMIC_SPECIES
Na 22.99 Na.upf
Zn 65.41 Zn.upf
Ru 101.07 Ru.upf
O 16.00 O.upf
ATOMIC_POSITIONS angstrom
Na -1.5596 -0.9004 5.4268
Na -1.5596 0.9004 10.8537
Na 0.0000 1.8009 5.4268
Zn -3.1192 0.0000 8.1402
Zn -1.5596 0.9004 2.7134
Zn 1.5596 0.9004 2.7134
Ru 0.0000 0.0000 8.1402
O 0.0000 0.0000 3.6654
O -1.3863 -0.8004 9.2282
O 0.0000 -1.6007 7.0523
O -1.3863 0.8004 7.0523
O 1.3863 -0.8004 9.2282
O 0.0000 1.6007 9.2282
O 1.3863 0.8004 7.0523
O 0.0000 0.0000 12.6151
CELL_PARAMETERS angstrom
3.1192 1.8009 5.4268
-3.1192 1.8009 5.4268
0.0000 -3.6018 5.4268
```



Below is crystalline NaZn2RuO6 at its relaxed geometry, with properties calculated at the PBE level. Values from VASP.

Space-group type ... C2/c (15)
Uncorrected formation energy ... -0.99 eV per atom
Uncorrected energy ... -5.283 eV/atom
Magnetization ... 1.03 μB per formula unit

Quantum ESPRESSO input file:
```
&SYSTEM
  ibrav = 0, nat = 20, ntyp = 4
/
ATOMIC_SPECIES
Na 22.99 Na.upf
Zn 65.41 Zn.upf
Ru 101.07 Ru.upf
O 16.00 O.upf
ATOMIC_POSITIONS angstrom
Na 3.0276 2.8953 4.5570
Na 4.3272 -2.8953 1.5190
Zn 1.5606 0.2129 4.8889
Zn 2.8602 -0.2129 1.8509
Zn 4.4945 0.2129 4.2250
Zn 5.7941 -0.2129 1.1870
Ru 4.3272 3.4313 1.5190
Ru 3.0276 -3.4313 4.5570
O -0.5494 0.4662 4.1786
O 3.9129 2.4498 0.1225
O 0.7502 -0.4662 1.1406
O 2.3951 0.8202 3.3299
O 4.7414 2.4498 2.9155
O 3.6947 -0.8202 0.2919
O 3.6600 0.8202 5.7841
O 2.6133 -2.4498 3.1605
O 4.9596 -0.8202 2.7461
O 6.6046 0.4662 4.9353
O 3.4418 -2.4498 5.9535
O 7.9042 -0.4662 1.8974
CELL_PARAMETERS angstrom
4.9770 -4.9166 0.0000
4.9770 4.9166 0.0000
-2.5992 0.0000 6.0760
```



Below is crystalline Na2ZrRuO6 at its relaxed geometry, with properties calculated at the PBE level. Values from VASP.

Space-group type ... P4mm (99)
Uncorrected formation energy ... -1.78 eV per atom
Uncorrected energy ... -6.799 eV/atom
Magnetization ... 1.87 μB per formula unit

Quantum ESPRESSO input file:
```
&SYSTEM
  ibrav = 0, nat = 10, ntyp = 4
/
ATOMIC_SPECIES
Na 22.99 Na.upf
Zr 91.22 Zr.upf
Ru 101.07 Ru.upf
O 16.00 O.upf
ATOMIC_POSITIONS angstrom
Na 0.0000 2.8284 0.0000
Na 2.8284 0.0000 0.0000
Zr 0.0000 0.0000 2.2156
Ru 2.8284 2.8284 2.0701
O 0.0000 0.0000 0.1716
O 1.4882 1.4882 2.2512
O 1.4882 4.1686 2.2512
O 2.8284 2.8284 0.2412
O 4.1686 1.4882 2.2512
O 4.1686 4.1686 2.2512
CELL_PARAMETERS angstrom
5.6569 0.0000 0.0000
0.0000 5.6569 0.0000
0.0000 0.0000 4.1157
```



Below is crystalline NaZr2RuO8 at its relaxed geometry, with properties calculated at the PBE level. Values from VASP.

Space-group type ... P2/m (10)
Uncorrected formation energy ... -2.02 eV per atom
Uncorrected energy ... -7.635 eV/atom
Magnetization ... 0.94 μB per formula unit

Quantum ESPRESSO input file:
```
&SYSTEM
  ibrav = 0, nat = 12, ntyp = 4
/
ATOMIC_SPECIES
Na 22.99 Na.upf
Zr 91.22 Zr.upf
Ru 101.07 Ru.upf
O 16.00 O.upf
ATOMIC_POSITIONS angstrom
Na 0.0000 0.0000 0.0000
Zr 2.4045 1.5843 2.4298
Zr 2.4045 5.0199 2.4298
Ru 0.0000 3.3021 0.0000
O 0.9433 1.9842 0.9444
O 0.9433 4.6200 0.9444
O 1.3718 3.3021 3.4495
O 1.4956 0.0000 3.3239
O 3.3135 0.0000 1.5357
O 3.4373 3.3021 1.4101
O 3.8657 1.9842 3.9151
O 3.8657 4.6200 3.9151
CELL_PARAMETERS angstrom
4.8481 0.0000 0.0000
0.0000 6.6042 0.0000
-0.0390 0.0000 4.8596
```



Below is crystalline Na2S2O7 at its relaxed geometry, with properties calculated at the PBE level. Values from VASP.

Space-group type ... P-1 (2)
Distance to the lowest polymorph of the same formula ... 0 meV/atom
Uncorrected formation energy ... -1.62 eV per atom
Uncorrected energy ... -5.761 eV/atom
Magnetization ... 0.00 μB per formula unit

Quantum ESPRESSO input file:
```
&SYSTEM
  ibrav = 0, nat = 22, ntyp = 3
/
ATOMIC_SPECIES
Na 22.99 Na.upf
S 32.06 S.upf
O 16.00 O.upf
ATOMIC_POSITIONS angstrom
Na 1.7424 1.2823 1.5942
Na 4.2878 2.7565 4.1695
Na 6.5169 4.6192 2.0965
Na 9.0623 6.0935 4.6718
S 2.9020 4.6965 1.5982
S 5.6905 6.3153 5.1447
S 5.1142 1.0604 1.1213
S 7.9027 2.6793 4.6678
O 2.3489 5.9116 2.1975
O 1.8760 3.6731 1.4007
O 4.4873 5.5164 4.9898
O 4.6380 0.7775 5.5962
O 4.1318 4.2178 2.2114
O 3.4726 5.1144 0.1101
O 4.1380 1.1830 2.1953
O 6.6667 6.1927 4.0707
O 7.3321 2.2613 6.1559
O 6.6729 3.1579 4.0546
O 6.1667 6.5983 0.6698
O 6.3174 1.8593 1.2762
O 8.9287 3.7026 4.8653
O 8.4558 1.4642 4.0684
CELL_PARAMETERS angstrom
6.8686 0.0000 0.0000
0.8275 6.9084 0.0000
3.1086 0.4673 6.2660
```



Below is crystalline Na2SO4 at its relaxed geometry, with properties calculated at the PBE level. Values from VASP.

Space-group type ... Cmcm (63)
Distance to the lowest polymorph of the same formula ... 4 meV/atom
Uncorrected formation energy ... -1.81 eV per atom
Uncorrected energy ... -5.608 eV/atom
Magnetization ... 0.00 μB per formula unit

Quantum ESPRESSO input file:
```
&SYSTEM
  ibrav = 0, nat = 14, ntyp = 3
/
ATOMIC_SPECIES
Na 22.99 Na.upf
S 32.06 S.upf
O 16.00 O.upf
ATOMIC_POSITIONS angstrom
Na 0.0000 0.0000 0.0000
Na 0.0000 0.0000 3.5116
Na 2.8497 1.6767 5.2674
Na 2.8497 -1.6767 1.7558
S 2.8497 1.3648 1.7558
S 2.8497 -1.3648 5.2674
O 1.6307 0.4852 1.7558
O 2.8497 2.2202 0.5430
O 2.8497 2.2202 2.9686
O 1.6307 -0.4852 5.2674
O 4.0688 0.4852 1.7558
O 2.8497 -2.2202 4.0546
O 2.8497 -2.2202 6.4802
O 4.0688 -0.4852 5.2674
CELL_PARAMETERS angstrom
2.8497 -4.5293 0.0000
2.8497 4.5293 0.0000
0.0000 0.0000 7.0232
```



Below is crystalline Na4S3O12 at its relaxed geometry, with properties calculated at the PBE level. Values from VASP.

Space-group type ... Im-3 (204)
Uncorrected formation energy ... -0.93 eV per atom
Uncorrected energy ... -4.995 eV/atom
Magnetization ... 2.00 μB per formula unit

Quantum ESPRESSO input file:
```
&SYSTEM
  ibrav = 0, nat = 19, ntyp = 3
/
ATOMIC_SPECIES
Na 22.99 Na.upf
S 32.06 S.upf
O 16.00 O.upf
ATOMIC_POSITIONS angstrom
Na 2.0323 2.0323 -2.0323
Na 2.0323 -2.0323 2.0323
Na -2.0323 2.0323 2.0323
Na 2.0323 2.0323 2.0323
S 4.0646 0.0000 0.0000
S 0.0000 4.0646 0.0000
S 0.0000 0.0000 4.0646
O 2.9613 1.0994 0.0000
O 5.1678 1.0994 0.0000
O 4.0646 -1.1033 2.9651
O 2.9651 4.0646 -1.1033
O 1.0994 0.0000 2.9613
O 0.0000 2.9613 1.0994
O 4.0646 1.1033 2.9651
O 2.9651 4.0646 1.1033
O 1.0994 0.0000 5.1678
O 0.0000 5.1678 1.0994
O -1.1033 2.9651 4.0646
O 1.1033 2.9651 4.0646
CELL_PARAMETERS angstrom
-4.0646 4.0646 4.0646
4.0646 -4.0646 4.0646
4.0646 4.0646 -4.0646
```



Repeat the fifth record exactly.
Below is crystalline Na2ZrRuO6 at its relaxed geometry, with properties calculated at the PBE level. Values from VASP.

Space-group type ... P4mm (99)
Uncorrected formation energy ... -1.78 eV per atom
Uncorrected energy ... -6.799 eV/atom
Magnetization ... 1.87 μB per formula unit

Quantum ESPRESSO input file:
```
&SYSTEM
  ibrav = 0, nat = 10, ntyp = 4
/
ATOMIC_SPECIES
Na 22.99 Na.upf
Zr 91.22 Zr.upf
Ru 101.07 Ru.upf
O 16.00 O.upf
ATOMIC_POSITIONS angstrom
Na 0.0000 2.8284 0.0000
Na 2.8284 0.0000 0.0000
Zr 0.0000 0.0000 2.2156
Ru 2.8284 2.8284 2.0701
O 0.0000 0.0000 0.1716
O 1.4882 1.4882 2.2512
O 1.4882 4.1686 2.2512
O 2.8284 2.8284 0.2412
O 4.1686 1.4882 2.2512
O 4.1686 4.1686 2.2512
CELL_PARAMETERS angstrom
5.6569 0.0000 0.0000
0.0000 5.6569 0.0000
0.0000 0.0000 4.1157
```



Question: Among the records above, which one has the lowest uncorrected energy?
Answer: NaZr2RuO8